(1)
# IrRuPt4 | the Alexandria database | GGA-PBE | optimized geometry
data_IrRuPt4
_symmetry_space_group_name_H-M 'F -4 3 m'
_symmetry_Int_Tables_number 216
_symmetry_space_group_name_Hall 'F -4 2 3'
_cell_length_a 7.348
_cell_length_b 7.348
_cell_length_c 7.348
_cell_angle_alpha 90.00
_cell_angle_beta 90.00
_cell_angle_gamma 90.00
loop_
_atom_site_label
_atom_site_type_symbol
_atom_site_fract_x
_atom_site_fract_y
_atom_site_fract_z
_atom_site_occupancy
Ir1 Ir 0.000 0.000 0.000 1
Ru1 Ru 0.250 0.250 0.250 1
Pt1 Pt 0.125 0.125 0.625 1
# energy relative to the elements: 540 meV per atom


(2)
# Ir3Ru6Pt | the Alexandria database | GGA-PBE | optimized geometry
data_Ir3Ru6Pt
_symmetry_space_group_name_H-M 'P 1 21/m 1'
_symmetry_Int_Tables_number 11
_cell_length_a 9.923
_cell_length_b 2.719
_cell_length_c 10.988
_cell_angle_alpha 90.00
_cell_angle_beta 101.29
_cell_angle_gamma 90.00
loop_
_symmetry_equiv_pos_as_xyz
'x,y,z'
'-x,-y,-z'
'-x,y+1/2,-z'
'x,-y+1/2,z'
loop_
_atom_site_label
_atom_site_type_symbol
_atom_site_fract_x
_atom_site_fract_y
_atom_site_fract_z
_atom_site_occupancy
Ir1 Ir 0.078 0.250 0.097 1
Ir2 Ir 0.373 0.750 0.497 1
Ir3 Ir 0.418 0.250 0.902 1
Ru1 Ru 0.133 0.250 0.490 1
Ru2 Ru 0.194 0.750 0.932 1
Ru3 Ru 0.232 0.750 0.278 1
Ru4 Ru 0.274 0.750 0.706 1
Ru5 Ru 0.347 0.250 0.124 1
Ru6 Ru 0.494 0.250 0.689 1
Pt1 Pt 0.035 0.250 0.712 1
# energy relative to the elements: 114 meV per atom